#one
{
  "formula": "Cr3SbAs",
  "functional": "PBE",
  "state": "relaxed",
  "cell": [[4.7820, 0.0000, 0.0000], [0.0000, 4.7820, 0.0000], [0.0000, 0.0000, 4.7820]],
  "species": ["Cr", "Cr", "Cr", "Sb", "As"],
  "fractional_positions": [[0.0000, 0.0000, 0.5000], [0.0000, 0.5000, 0.0000], [0.5000, 0.0000, 0.0000], [0.5000, 0.5000, 0.5000], [0.0000, 0.0000, 0.0000]],
  "volume_a3_per_cell": 109.35,
  "dos_ef_per_ev_atom": 0.31,
  "space_group": "No. 221"
}

***

#two
{
  "formula": "Cr3SbAs",
  "functional": "PBE",
  "state": "relaxed",
  "cell": [[5.0789, 0.0000, 0.0000], [0.0000, 5.0789, 0.0000], [0.0000, 0.0000, 5.0789]],
  "species": ["Cr", "Cr", "Cr", "Sb", "As"],
  "fractional_positions": [[0.0000, 0.0000, 0.5000], [0.0000, 0.5000, 0.0000], [0.5000, 0.0000, 0.0000], [0.0000, 0.0000, 0.0000], [0.5000, 0.5000, 0.5000]],
  "volume_a3_per_cell": 131.01,
  "dos_ef_per_ev_atom": 0.30,
  "space_group": "No. 221"
}

***

It is #one that is the most stable of them.

***

#one
{
  "formula": "CrSb2TeAs",
  "functional": "PBE",
  "state": "relaxed",
  "cell": [[5.2929, 0.0000, 0.0000], [0.0000, 5.2929, 0.0000], [0.0000, 0.0000, 5.5358]],
  "species": ["Cr", "Sb", "Sb", "Te", "As"],
  "fractional_positions": [[0.0000, 0.0000, 0.0000], [0.0000, 0.5000, 0.5000], [0.5000, 0.0000, 0.5000], [0.5000, 0.5000, 0.0000], [0.5000, 0.5000, 0.5000]],
  "volume_a3_per_cell": 155.09,
  "dos_ef_per_ev_atom": 0.82,
  "space_group": "No. 123"
}

***

#two
{
  "formula": "CrSb2TeAs",
  "functional": "PBE",
  "state": "relaxed",
  "cell": [[5.0218, 0.0000, 0.0000], [0.0000, 5.0218, 0.0000], [0.0000, 0.0000, 4.9406]],
  "species": ["Cr", "Sb", "Sb", "Te", "As"],
  "fractional_positions": [[0.0000, 0.0000, 0.0000], [0.0000, 0.5000, 0.0000], [0.5000, 0.0000, 0.0000], [0.0000, 0.0000, 0.5000], [0.5000, 0.5000, 0.5000]],
  "volume_a3_per_cell": 124.59,
  "dos_ef_per_ev_atom": 0.84,
  "space_group": "No. 123"
}

***

It is #two that is the most stable of them.

***

#one
{
  "formula": "ScCrAs2",
  "functional": "PBE",
  "state": "relaxed",
  "cell": [[1.9066, 1.1008, 5.8493], [-1.9066, 1.1008, 5.8493], [0.0000, -2.2016, 5.8493]],
  "species": ["Sc", "Cr", "As", "As"],
  "fractional_positions": [[0.0000, 0.0000, 0.0000], [0.5000, 0.5000, 0.5000], [0.2414, 0.2414, 0.2414], [0.7586, 0.7586, 0.7586]],
  "volume_a3_per_cell": 73.66,
  "dos_ef_per_ev_atom": 0.17,
  "space_group": "No. 166"
}

***

#two
{
  "formula": "ScCrAs2",
  "functional": "PBE",
  "state": "relaxed",
  "cell": [[-1.9484, 2.6933, 3.4611], [1.9484, -2.6933, 3.4611], [1.9484, 2.6933, -3.4611]],
  "species": ["Sc", "Cr", "As", "As"],
  "fractional_positions": [[0.0000, 0.0000, 0.0000], [0.5000, 0.5000, 0.0000], [0.2705, 0.7705, 0.5000], [0.7295, 0.2295, 0.5000]],
  "volume_a3_per_cell": 72.65,
  "dos_ef_per_ev_atom": 0.36,
  "space_group": "No. 71"
}

***

#three
{
  "formula": "ScCrAs2",
  "functional": "PBE",
  "state": "relaxed",
  "cell": [[-2.8746, 2.8746, 6.0977], [2.8746, -2.8746, 6.0977], [2.8746, 2.8746, -6.0977]],
  "species": ["Sc", "Sc", "Cr", "Cr", "As", "As", "As", "As"],
  "fractional_positions": [[0.0000, 0.0000, 0.0000], [0.7500, 0.2500, 0.5000], [0.2500, 0.7500, 0.5000], [0.5000, 0.5000, 0.0000], [0.1598, 0.6250, 0.0348], [0.3750, 0.4098, 0.5348], [0.5902, 0.1250, 0.9652], [0.8750, 0.8402, 0.4652]],
  "volume_a3_per_cell": 201.54,
  "dos_ef_per_ev_atom": 0.48,
  "space_group": "No. 122"
}

***

It is #one that is the most stable of them.

***

#one
{
  "formula": "ScCrAs2",
  "functional": "PBE",
  "state": "relaxed",
  "cell": [[3.8487, 0.0000, 0.0000], [0.0000, 1.8101, 5.3704], [0.0000, -1.8101, 5.3704]],
  "species": ["Sc", "Cr", "As", "As"],
  "fractional_positions": [[0.0000, 0.0000, 0.0000], [0.5000, 0.7489, 0.7489], [0.0000, 0.2716, 0.2716], [0.5000, 0.5195, 0.5195]],
  "volume_a3_per_cell": 74.82,
  "dos_ef_per_ev_atom": 0.33,
  "space_group": "No. 38"
}

***

#two
{
  "formula": "ScCrAs2",
  "functional": "PBE",
  "state": "relaxed",
  "cell": [[0.0000, 3.2983, 3.2983], [3.2983, 0.0000, 3.2983], [3.2983, 3.2983, 0.0000]],
  "species": ["Sc", "Cr", "As", "As"],
  "fractional_positions": [[0.0000, 0.0000, 0.0000], [0.7500, 0.7500, 0.7500], [0.2500, 0.2500, 0.2500], [0.5000, 0.5000, 0.5000]],
  "volume_a3_per_cell": 71.76,
  "dos_ef_per_ev_atom": 0.72,
  "space_group": "No. 216"
}

***

It is #one that is the most stable of them.

***

#one
{
  "formula": "ScCr3As",
  "functional": "PBE",
  "state": "relaxed",
  "cell": [[4.6741, 0.0000, 0.0000], [0.0000, 4.6741, 0.0000], [0.0000, 0.0000, 4.6741]],
  "species": ["Sc", "Cr", "Cr", "Cr", "As"],
  "fractional_positions": [[0.0000, 0.0000, 0.0000], [0.0000, 0.0000, 0.5000], [0.0000, 0.5000, 0.0000], [0.5000, 0.0000, 0.0000], [0.5000, 0.5000, 0.5000]],
  "volume_a3_per_cell": 102.12,
  "dos_ef_per_ev_atom": 1.38,
  "space_group": "No. 221"
}

***

#two
{
  "formula": "ScCr3As",
  "functional": "PBE",
  "state": "relaxed",
  "cell": [[4.5035, 0.0000, 0.0000], [0.0000, 4.5035, 0.0000], [0.0000, 0.0000, 4.5035]],
  "species": ["Sc", "Cr", "Cr", "Cr", "As"],
  "fractional_positions": [[0.0000, 0.0000, 0.0000], [0.0000, 0.5000, 0.5000], [0.5000, 0.0000, 0.5000], [0.5000, 0.5000, 0.0000], [0.5000, 0.5000, 0.5000]],
  "volume_a3_per_cell": 91.34,
  "dos_ef_per_ev_atom": 0.76,
  "space_group": "No. 221"
}

***

It is #two that is the most stable of them.

***

#one
{
  "formula": "ScCrAsSe2",
  "functional": "PBE",
  "state": "relaxed",
  "cell": [[4.8879, 0.0000, 0.0000], [0.0000, 4.8879, 0.0000], [0.0000, 0.0000, 4.6329]],
  "species": ["Sc", "Cr", "As", "Se", "Se"],
  "fractional_positions": [[0.0000, 0.0000, 0.0000], [0.5000, 0.5000, 0.5000], [0.5000, 0.5000, 0.0000], [0.0000, 0.5000, 0.5000], [0.5000, 0.0000, 0.5000]],
  "volume_a3_per_cell": 110.69,
  "dos_ef_per_ev_atom": 0.78,
  "space_group": "No. 123"
}

***

#two
{
  "formula": "ScCrAsSe2",
  "functional": "PBE",
  "state": "relaxed",
  "cell": [[5.0469, 0.0000, 0.0000], [0.0000, 5.0469, 0.0000], [0.0000, 0.0000, 5.1232]],
  "species": ["Sc", "Cr", "As", "Se", "Se"],
  "fractional_positions": [[0.0000, 0.0000, 0.0000], [0.5000, 0.5000, 0.5000], [0.0000, 0.0000, 0.5000], [0.0000, 0.5000, 0.0000], [0.5000, 0.0000, 0.0000]],
  "volume_a3_per_cell": 130.49,
  "dos_ef_per_ev_atom": 1.18,
  "space_group": "No. 123"
}

***

It is #one that is the most stable of them.

***

#one
{
  "formula": "TaCrAsSe2",
  "functional": "PBE",
  "state": "relaxed",
  "cell": [[4.9755, 0.0000, 0.0000], [0.0000, 4.9755, 0.0000], [0.0000, 0.0000, 5.0313]],
  "species": ["Ta", "Cr", "As", "Se", "Se"],
  "fractional_positions": [[0.0000, 0.0000, 0.0000], [0.5000, 0.5000, 0.5000], [0.0000, 0.0000, 0.5000], [0.0000, 0.5000, 0.0000], [0.5000, 0.0000, 0.0000]],
  "volume_a3_per_cell": 124.55,
  "dos_ef_per_ev_atom": 2.08,
  "space_group": "No. 123"
}

***

#two
{
  "formula": "TaCrAsSe2",
  "functional": "PBE",
  "state": "relaxed",
  "cell": [[4.7220, 0.0000, 0.0000], [0.0000, 4.7220, 0.0000], [0.0000, 0.0000, 4.6864]],
  "species": ["Ta", "Cr", "As", "Se", "Se"],
  "fractional_positions": [[0.0000, 0.0000, 0.0000], [0.5000, 0.5000, 0.5000], [0.5000, 0.5000, 0.0000], [0.0000, 0.5000, 0.5000], [0.5000, 0.0000, 0.5000]],
  "volume_a3_per_cell": 104.50,
  "dos_ef_per_ev_atom": 0.85,
  "space_group": "No. 123"
}

***

It is #two that is the most stable of them.

***

#one
{
  "formula": "TiCrAs2Se",
  "functional": "PBE",
  "state": "relaxed",
  "cell": [[4.8686, 0.0000, 0.0000], [0.0000, 4.8686, 0.0000], [0.0000, 0.0000, 4.8106]],
  "species": ["Ti", "Cr", "As", "As", "Se"],
  "fractional_positions": [[0.0000, 0.0000, 0.0000], [0.5000, 0.5000, 0.5000], [0.0000, 0.5000, 0.0000], [0.5000, 0.0000, 0.0000], [0.0000, 0.0000, 0.5000]],
  "volume_a3_per_cell": 114.03,
  "dos_ef_per_ev_atom": 1.20,
  "space_group": "No. 123"
}

***

#two
{
  "formula": "TiCrAs2Se",
  "functional": "PBE",
  "state": "relaxed",
  "cell": [[4.5894, 0.0000, 0.0000], [0.0000, 4.5894, 0.0000], [0.0000, 0.0000, 5.0242]],
  "species": ["Ti", "Cr", "As", "As", "Se"],
  "fractional_positions": [[0.0000, 0.0000, 0.0000], [0.5000, 0.5000, 0.5000], [0.0000, 0.5000, 0.5000], [0.5000, 0.0000, 0.5000], [0.5000, 0.5000, 0.0000]],
  "volume_a3_per_cell": 105.82,
  "dos_ef_per_ev_atom": 1.48,
  "space_group": "No. 123"
}

***

It is #two that is the most stable of them.

***

#one
{
  "formula": "CrAsWSe2",
  "functional": "PBE",
  "state": "relaxed",
  "cell": [[4.7401, 0.0000, 0.0000], [0.0000, 4.7401, 0.0000], [0.0000, 0.0000, 4.6676]],
  "species": ["Cr", "As", "W", "Se", "Se"],
  "fractional_positions": [[0.0000, 0.0000, 0.0000], [0.0000, 0.0000, 0.5000], [0.5000, 0.5000, 0.5000], [0.0000, 0.5000, 0.0000], [0.5000, 0.0000, 0.0000]],
  "volume_a3_per_cell": 104.87,
  "dos_ef_per_ev_atom": 0.65,
  "space_group": "No. 123"
}

***

#two
{
  "formula": "CrAsWSe2",
  "functional": "PBE",
  "state": "relaxed",
  "cell": [[4.9090, 0.0000, 0.0000], [0.0000, 4.9090, 0.0000], [0.0000, 0.0000, 4.8982]],
  "species": ["Cr", "As", "W", "Se", "Se"],
  "fractional_positions": [[0.0000, 0.0000, 0.0000], [0.5000, 0.5000, 0.0000], [0.5000, 0.5000, 0.5000], [0.0000, 0.5000, 0.5000], [0.5000, 0.0000, 0.5000]],
  "volume_a3_per_cell": 118.04,
  "dos_ef_per_ev_atom": 1.08,
  "space_group": "No. 123"
}

***

It is #one that is the most stable of them.

***

#one
{
  "formula": "CrAs2WSe",
  "functional": "PBE",
  "state": "relaxed",
  "cell": [[4.9014, 0.0000, 0.0000], [0.0000, 4.9014, 0.0000], [0.0000, 0.0000, 4.9641]],
  "species": ["Cr", "As", "As", "W", "Se"],
  "fractional_positions": [[0.0000, 0.0000, 0.0000], [0.0000, 0.5000, 0.5000], [0.5000, 0.0000, 0.5000], [0.5000, 0.5000, 0.5000], [0.5000, 0.5000, 0.0000]],
  "volume_a3_per_cell": 119.26,
  "dos_ef_per_ev_atom": 0.64,
  "space_group": "No. 123"
}

***

#two
{
  "formula": "CrAs2WSe",
  "functional": "PBE",
  "state": "relaxed",
  "cell": [[4.6033, 0.0000, 0.0000], [0.0000, 4.6033, 0.0000], [0.0000, 0.0000, 4.8191]],
  "species": ["Cr", "As", "As", "W", "Se"],
  "fractional_positions": [[0.0000, 0.0000, 0.0000], [0.0000, 0.5000, 0.0000], [0.5000, 0.0000, 0.0000], [0.5000, 0.5000, 0.5000], [0.0000, 0.0000, 0.5000]],
  "volume_a3_per_cell": 102.12,
  "dos_ef_per_ev_atom": 0.66,
  "space_group": "No. 123"
}

***

It is #one that is the most stable of them.

***

#one
{
  "formula": "ZnCrAs2Se",
  "functional": "PBE",
  "state": "relaxed",
  "cell": [[4.7340, 0.0000, 0.0000], [0.0000, 4.7340, 0.0000], [0.0000, 0.0000, 4.8919]],
  "species": ["Zn", "Cr", "As", "As", "Se"],
  "fractional_positions": [[0.0000, 0.0000, 0.0000], [0.5000, 0.5000, 0.5000], [0.0000, 0.5000, 0.0000], [0.5000, 0.0000, 0.0000], [0.0000, 0.0000, 0.5000]],
  "volume_a3_per_cell": 109.63,
  "dos_ef_per_ev_atom": 1.37,
  "space_group": "No. 123"
}

***

#two
{
  "formula": "ZnCrAs2Se",
  "functional": "PBE",
  "state": "relaxed",
  "cell": [[4.6137, 0.0000, 0.0000], [0.0000, 4.6137, 0.0000], [0.0000, 0.0000, 4.9827]],
  "species": ["Zn", "Cr", "As", "As", "Se"],
  "fractional_positions": [[0.0000, 0.0000, 0.0000], [0.5000, 0.5000, 0.5000], [0.0000, 0.5000, 0.5000], [0.5000, 0.0000, 0.5000], [0.5000, 0.5000, 0.0000]],
  "volume_a3_per_cell": 106.06,
  "dos_ef_per_ev_atom": 0.77,
  "space_group": "No. 123"
}

***

It is #two that is the most stable of them.

***

#one
{
  "formula": "CrSiAs3",
  "functional": "PBE",
  "state": "relaxed",
  "cell": [[4.7433, 0.0000, 0.0000], [0.0000, 4.7433, 0.0000], [0.0000, 0.0000, 4.7433]],
  "species": ["Cr", "Si", "As", "As", "As"],
  "fractional_positions": [[0.0000, 0.0000, 0.0000], [0.5000, 0.5000, 0.5000], [0.0000, 0.5000, 0.5000], [0.5000, 0.0000, 0.5000], [0.5000, 0.5000, 0.0000]],
  "volume_a3_per_cell": 106.72,
  "dos_ef_per_ev_atom": 0.63,
  "space_group": "No. 221"
}

***

#two
{
  "formula": "CrSiAs3",
  "functional": "PBE",
  "state": "relaxed",
  "cell": [[4.6674, 0.0000, 0.0000], [0.0000, 4.6674, 0.0000], [0.0000, 0.0000, 4.6674]],
  "species": ["Cr", "Si", "As", "As", "As"],
  "fractional_positions": [[0.0000, 0.0000, 0.0000], [0.5000, 0.5000, 0.5000], [0.0000, 0.0000, 0.5000], [0.0000, 0.5000, 0.0000], [0.5000, 0.0000, 0.0000]],
  "volume_a3_per_cell": 101.68,
  "dos_ef_per_ev_atom": 0.54,
  "space_group": "No. 221"
}

***

It is #two that is the most stable of them.

***

#one
{
  "formula": "Cr2SiAs",
  "functional": "PBE",
  "state": "relaxed",
  "cell": [[-1.7988, 1.7988, 4.3603], [1.7988, -1.7988, 4.3603], [1.7988, 1.7988, -4.3603]],
  "species": ["Cr", "Cr", "Si", "As"],
  "fractional_positions": [[0.0000, 0.0000, 0.0000], [0.7500, 0.2500, 0.5000], [0.2500, 0.7500, 0.5000], [0.5000, 0.5000, 0.0000]],
  "volume_a3_per_cell": 56.44,
  "dos_ef_per_ev_atom": 0.71,
  "space_group": "No. 119"
}

***

#two
{
  "formula": "Cr2SiAs",
  "functional": "PBE",
  "state": "relaxed",
  "cell": [[2.9502, -2.9490, 0.0000], [2.9502, 2.9490, 0.0000], [-0.0072, 0.0000, 2.9496]],
  "species": ["Cr", "Cr", "Si", "As"],
  "fractional_positions": [[0.0000, 0.5000, 0.0000], [0.5000, 0.0000, 0.0000], [0.0000, 0.0000, 0.5000], [0.5000, 0.5000, 0.5000]],
  "volume_a3_per_cell": 51.32,
  "dos_ef_per_ev_atom": 0.88,
  "space_group": "No. 12"
}

***

It is #two that is the most stable of them.

***

#one
{
  "formula": "Cr3SnAs",
  "functional": "PBE",
  "state": "relaxed",
  "cell": [[5.0280, 0.0000, 0.0000], [0.0000, 5.0280, 0.0000], [0.0000, 0.0000, 5.0280]],
  "species": ["Cr", "Cr", "Cr", "Sn", "As"],
  "fractional_positions": [[0.0000, 0.0000, 0.5000], [0.0000, 0.5000, 0.0000], [0.5000, 0.0000, 0.0000], [0.0000, 0.0000, 0.0000], [0.5000, 0.5000, 0.5000]],
  "volume_a3_per_cell": 127.11,
  "dos_ef_per_ev_atom": 0.48,
  "space_group": "No. 221"
}

***

#two
{
  "formula": "Cr3SnAs",
  "functional": "PBE",
  "state": "relaxed",
  "cell": [[4.7434, 0.0000, 0.0000], [0.0000, 4.7434, 0.0000], [0.0000, 0.0000, 4.7434]],
  "species": ["Cr", "Cr", "Cr", "Sn", "As"],
  "fractional_positions": [[0.0000, 0.0000, 0.5000], [0.0000, 0.5000, 0.0000], [0.5000, 0.0000, 0.0000], [0.5000, 0.5000, 0.5000], [0.0000, 0.0000, 0.0000]],
  "volume_a3_per_cell": 106.72,
  "dos_ef_per_ev_atom": 0.77,
  "space_group": "No. 221"
}

***

It is #two that is the most stable of them.